SbTeMo3 | Alexandria via LeMat-Bulk | PBE | optimized geometry; SG = No. 221; volume = 120.1 Å³/cell; formation energy without anion corrections = 1.7239 eV per atom; uncorrected energy = -6.2276 eV/atom; relative energy among the computed polymorphs = 0.000 eV per atom
1.0
-4.416 0.893 -2.012
0.763 -3.610 -3.276
-2.065 -3.243 3.093
Sb Mo Te
1 3 1
Cartesian
-2.859 -2.980 -1.097 Sb
0.381 -1.805 -1.638 Mo
-1.032 -1.622 1.547 Mo
-2.208 0.446 -1.006 Mo
0.000 0.000 0.000 Te

TlMoBr | Alexandria via LeMat-Bulk | PBE | optimized geometry; SG = No. 107; volume = 73.0 Å³/cell; formation energy without anion corrections = 0.5221 eV per atom; uncorrected energy = -4.4346 eV/atom; relative energy among the computed polymorphs = 0.136 eV per atom
1.0
-7.019 2.112 2.718
-6.398 -2.068 3.987
7.645 0.684 -1.484
Tl Mo Br
1 1 1
Cartesian
-9.348 0.031 4.672 Tl
-4.750 0.016 2.374 Mo
-12.735 0.042 6.365 Br

PmDy4Y4 | Alexandria via LeMat-Bulk | PBE | optimized geometry; SG = No. 139; volume = 288.8 Å³/cell; uncorrected energy = -5.4251 eV/atom
1.0
5.038 0.000 0.000
2.519 7.572 0.000
2.519 0.000 7.572
Pm Dy Y
1 4 4
Cartesian
0.000 0.000 0.000 Pm
5.038 2.535 2.536 Dy
5.038 5.036 5.035 Dy
2.519 5.035 2.535 Dy
7.557 2.536 5.036 Dy
5.038 5.041 0.000 Y
5.038 2.530 7.571 Y
7.557 7.571 5.041 Y
2.519 0.000 2.530 Y